Compound: ZrCdP2Cl
Source: the Alexandria database
Functional: GGA-PBE
Structure: optimized geometry

Lattice parameters (Å, degrees): 5.1013 5.1013 4.9762 90.00 90.00 90.00
Space group P4/mmm (No. 123)
Symmetry-distinct sites (fractional):
1 Zr 0.0000 0.0000 0.0000 (multiplicity 1)
2 Cd 0.5000 0.5000 0.5000 (multiplicity 1)
3 P 0.0000 0.5000 0.0000 (multiplicity 2)
4 Cl 0.0000 0.0000 0.5000 (multiplicity 1)

## Properties
- energy above the most stable polymorph in this dataset (eV per atom) = 0.000
- formation energy from raw total energies (eV per atom) = -0.142
- size of the total moment (μB per formula unit) = 0.00
- DFT total energy (eV per atom) = -4.57